[1]
First-principles (PBE-GGA) data for K2NpI6 after structural relaxation, as listed in the Alexandria database.

Properties
distance to the lowest polymorph of the same formula	33	meV/atom
uncorrected formation energy	-104.65	kJ per mole of atoms
DOS(E_F)	5.343	states/eV/f.u.
total magnetic moment	3.00	μB per formula unit
space-group type	No. 136

Structure (POSCAR):
```
K2NpI6
1.0
-1.1483 -6.0877 4.9913
2.9751 -5.0057 -5.4207
13.8346 2.0579 5.6926
I K Np
12 4 2
Direct
0.3135 0.3135 0.3569 I
0.2678 0.2678 0.0000 I
0.7678 0.2322 0.5000 I
0.7322 0.7322 0.0000 I
0.3135 0.3135 0.6431 I
0.8135 0.1865 0.1431 I
0.8135 0.1865 0.8569 I
0.1865 0.8135 0.1431 I
0.2322 0.7678 0.5000 I
0.1865 0.8135 0.8569 I
0.6865 0.6865 0.6431 I
0.6865 0.6865 0.3569 I
0.5000 0.5000 0.1668 K
0.0000 0.0000 0.3332 K
0.5000 0.5000 0.8332 K
0.0000 0.0000 0.6668 K
0.0000 0.0000 0.0000 Np
0.5000 0.5000 0.5000 Np
```

***

[2]
First-principles (PBE-GGA) data for KNpI4 after structural relaxation, as listed in the Alexandria database.

Properties
distance to the lowest polymorph of the same formula	133	meV/atom
uncorrected formation energy	-89.55	kJ per mole of atoms
DOS(E_F)	4.638	states/eV/f.u.
total magnetic moment	4.00	μB per formula unit
space-group type	No. 82

Structure (POSCAR):
```
KNpI4
1.0
9.1433 0.0000 0.0000
0.0000 9.1433 0.0000
-4.5716 -4.5716 4.2969
I Np K
4 1 1
Direct
0.1329 0.1058 0.6233 I
0.4825 0.8671 0.3767 I
0.8942 0.5096 0.3767 I
0.4904 0.5175 0.6233 I
0.5000 0.5000 0.0000 Np
0.7500 0.2500 0.5000 K
```

***

[3]
First-principles (PBE-GGA) data for K3NpI8 after structural relaxation, as listed in the Alexandria database.

Properties
uncorrected formation energy	-91.61	kJ per mole of atoms
DOS(E_F)	16.007	states/eV/f.u.
total magnetic moment	2.73	μB per formula unit
space-group type	No. 221

Structure (POSCAR):
```
K3NpI8
1.0
-3.7256 6.3129 -3.5939
-4.7754 -5.1720 -4.1345
-5.4739 0.2155 6.0530
I K Np
8 3 1
Direct
0.7722 0.2278 0.7722 I
0.2278 0.2278 0.2278 I
0.7722 0.7722 0.7722 I
0.2278 0.7722 0.7722 I
0.2278 0.2278 0.7722 I
0.7722 0.2278 0.2278 I
0.7722 0.7722 0.2278 I
0.2278 0.7722 0.2278 I
0.5000 0.0000 0.5000 K
0.5000 0.5000 0.0000 K
0.0000 0.5000 0.5000 K
0.0000 0.0000 0.0000 Np
```

***

[4]
First-principles (PBE-GGA) data for K5Np2I12 after structural relaxation, as listed in the Alexandria database.

Properties
uncorrected formation energy	-108.11	kJ per mole of atoms
DOS(E_F)	15.365	states/eV/f.u.
total magnetic moment	7.00	μB per formula unit
space-group type	No. 12

Structure (POSCAR):
```
K5Np2I12
1.0
9.2089 0.0000 0.0000
-4.6044 9.0745 -4.0470
0.0000 0.4431 11.2782
I Np K
12 2 5
Direct
0.9774 0.9547 0.8066 I
0.0226 0.0453 0.1934 I
0.6067 0.7166 0.4426 I
0.3933 0.2834 0.5574 I
0.9011 0.3192 0.0612 I
0.4181 0.3192 0.0612 I
0.0989 0.6808 0.9388 I
0.5173 0.0346 0.1983 I
0.1100 0.7166 0.4426 I
0.8900 0.2834 0.5574 I
0.5819 0.6808 0.9388 I
0.4827 0.9654 0.8017 I
0.7483 0.0000 0.0000 Np
0.2517 0.0000 0.0000 Np
0.3227 0.6453 0.2014 K
0.6773 0.3547 0.7986 K
0.0000 0.0000 0.5000 K
0.7220 0.4441 0.4078 K
0.2780 0.5559 0.5922 K
```

***

[5]
First-principles (PBE-GGA) data for K2NpI5 after structural relaxation, as listed in the Alexandria database.

Properties
uncorrected formation energy	-113.44	kJ per mole of atoms
DOS(E_F)	3.536	states/eV/f.u.
total magnetic moment	4.00	μB per formula unit
space-group type	No. 62

Structure (POSCAR):
```
K2NpI5
1.0
9.2146 0.0000 0.0000
0.0000 9.8787 0.0000
0.0000 0.0000 14.7224
Np I K
4 20 8
Direct
0.5750 0.7500 0.4978 Np
0.0750 0.2500 0.0022 Np
0.9250 0.7500 0.9978 Np
0.4250 0.2500 0.5022 Np
0.1641 0.9567 0.0785 I
0.8761 0.2500 0.1796 I
0.8359 0.4567 0.9215 I
0.8359 0.0433 0.9215 I
0.6641 0.0433 0.4215 I
0.1641 0.5433 0.0785 I
0.3359 0.5433 0.5785 I
0.6627 0.7500 0.7059 I
0.4269 0.2500 0.0068 I
0.3373 0.2500 0.2941 I
0.3359 0.9567 0.5785 I
0.5731 0.7500 0.9932 I
0.8373 0.7500 0.2059 I
0.3761 0.7500 0.3204 I
0.9269 0.7500 0.4932 I
0.6641 0.4567 0.4215 I
0.6239 0.2500 0.6796 I
0.0731 0.2500 0.5068 I
0.1627 0.2500 0.7941 I
0.1239 0.7500 0.8204 I
0.4435 0.9965 0.8268 K
0.9435 0.0035 0.6732 K
0.0565 0.5035 0.3268 K
0.9435 0.4965 0.6732 K
0.0565 0.9965 0.3268 K
0.5565 0.0035 0.1732 K
0.4435 0.5035 0.8268 K
0.5565 0.4965 0.1732 K
```

***

[6]
First-principles (PBE-GGA) data for KNpI6 after structural relaxation, as listed in the Alexandria database.

Properties
uncorrected formation energy	-80.79	kJ per mole of atoms
DOS(E_F)	8.055	states/eV/f.u.
total magnetic moment	2.00	μB per formula unit
space-group type	No. 12

Structure (POSCAR):
```
KNpI6
1.0
-3.2854 2.1198 6.7379
-3.2116 -6.3870 -3.0949
6.5206 -3.1047 2.7350
I K Np
6 1 1
Direct
0.5089 0.8315 0.7510 I
0.8315 0.5089 0.7510 I
0.2380 0.2380 0.6717 I
0.7620 0.7620 0.3283 I
0.1685 0.4911 0.2490 I
0.4911 0.1685 0.2490 I
0.0000 0.0000 0.0000 K
0.5000 0.5000 0.5000 Np
```

***

[7]
First-principles (PBE-GGA) data for KNpI3 after structural relaxation, as listed in the Alexandria database.

Properties
uncorrected formation energy	-79.17	kJ per mole of atoms
DOS(E_F)	16.354	states/eV/f.u.
total magnetic moment	5.00	μB per formula unit
space-group type	No. 221

Structure (POSCAR):
```
KNpI3
1.0
6.1902 0.0000 0.0000
0.0000 6.1902 0.0000
0.0000 0.0000 6.1902
I K Np
3 1 1
Direct
0.0000 0.5000 0.0000 I
0.0000 0.0000 0.5000 I
0.5000 0.0000 0.0000 I
0.5000 0.5000 0.5000 K
0.0000 0.0000 0.0000 Np
```

***

[8]
First-principles (PBE-GGA) data for KNpI6 after structural relaxation, as listed in the Alexandria database.

Properties
uncorrected formation energy	-80.87	kJ per mole of atoms
DOS(E_F)	8.285	states/eV/f.u.
total magnetic moment	2.00	μB per formula unit
space-group type	No. 2

Structure (POSCAR):
```
KNpI6
1.0
8.0042 -0.0065 0.0124
3.9779 6.9118 0.0350
3.9843 2.3087 7.2743
Np I K
1 6 1
Direct
0.0000 0.0000 0.0000 Np
0.9696 0.5995 0.2327 I
0.3970 0.8029 0.7682 I
0.0304 0.4005 0.7673 I
0.8015 0.0307 0.7691 I
0.1985 0.9693 0.2309 I
0.6030 0.1971 0.2318 I
0.5000 0.5000 0.5000 K
```

***

Q: Which formula does entry 5 have?
A: K2NpI5